1.
HfTh2Al, relaxed, DFT PBE-GGA; space-group type = No. 123; calculated formation energy = -0.0749 eV/atom
1.0
4.6994 0.0000 0.0000
0.0000 4.6994 0.0000
0.0000 0.0000 4.7019
Hf Th Al
1 2 1
Direct
0.0000 0.0000 0.0000
0.0000 0.5000 0.5000
0.5000 0.0000 0.5000
0.5000 0.5000 0.0000

2.
HfTh2Al3, relaxed, DFT PBE-GGA; space-group type = No. 166; calculated formation energy = -0.3676 eV/atom
1.0
2.8810 1.6633 4.7713
-2.8810 1.6633 4.7713
0.0000 -3.3267 4.7713
Hf Th Al
1 2 3
Direct
0.0000 0.0000 0.0000
0.3692 0.3692 0.3692
0.6308 0.6308 0.6308
0.0000 0.0000 0.5000
0.0000 0.5000 0.0000
0.5000 0.0000 0.0000